--- one ---
The following is a PBE calculation of a relaxed structure of CsH3Rh, from the Alexandria database.

a b c (Å): 3.9806 3.9806 3.9806
angles (deg): 90.00 90.00 90.00
Last column: nearest neighbours and their distance in Å.
Atoms (fractional coordinates):
Cs (0.0000, 0.0000, 0.0000)  12 H 2.81
H (0.0000, 0.5000, 0.5000)  2 Rh 1.99
H (0.5000, 0.0000, 0.5000)  2 Rh 1.99
H (0.5000, 0.5000, 0.0000)  2 Rh 1.99
Rh (0.5000, 0.5000, 0.5000)  6 H 1.99

- Symmetry: Pm-3m, No. 221
- Volume: 12.615 A^3/atom



--- two ---
The following is a PBE calculation of a relaxed structure of CsH3Rh, from the Alexandria database.

a b c (Å): 6.1820 6.1820 5.2838
angles (deg): 90.29 90.29 119.98
Last column: nearest neighbours and their distance in Å.
Atoms (fractional coordinates):
Cs (0.1665, 0.8335, 0.5000)  7 H 3.14-3.52
Cs (0.8335, 0.1665, 0.0000)  7 H 3.14-3.52
H (0.2753, 0.3876, 0.4989)  2 Rh 1.79
H (0.3876, 0.2753, 0.9989)  2 Rh 1.79
H (0.3875, 0.6122, 0.0009)  2 Rh 1.79
H (0.6122, 0.3875, 0.5009)  2 Rh 1.79
H (0.6119, 0.7243, 0.5029)  2 Rh 1.79
H (0.7243, 0.6119, 0.0029)  2 Rh 1.79
Rh (0.4998, 0.4998, 0.2509)  6 H 1.79
Rh (0.4998, 0.4998, 0.7509)  6 H 1.79

- Symmetry: Cc, No. 9
- Volume: 17.491 A^3/atom



Most stable to least stable: two, one



--- one ---
The following is a PBE calculation of a relaxed structure of CsH4Rh, from the Alexandria database.

a b c (Å): 7.3038 7.3038 4.9570
angles (deg): 107.43 107.43 51.79
Last column: nearest neighbours and their distance in Å.
Atoms (fractional coordinates):
Cs (0.1658, 0.1658, 0.2598)  7 H 2.91-3.19
Cs (0.8342, 0.8342, 0.7402)  7 H 2.91-3.19
H (0.2447, 0.5686, 0.3854)  1 Rh 1.62
H (0.3119, 0.6881, 0.0000)  2 Rh 1.81
H (0.3428, 0.3428, 0.9647)  1 Rh 1.57
H (0.4314, 0.7553, 0.6146)  1 Rh 1.62
H (0.5686, 0.2447, 0.3854)  1 Rh 1.62
H (0.6572, 0.6572, 0.0353)  1 Rh 1.57
H (0.6881, 0.3119, 0.0000)  2 Rh 1.81
H (0.7553, 0.4314, 0.6146)  1 Rh 1.62
Rh (0.4553, 0.4553, 0.2091)  3 H 1.57-1.62
Rh (0.5447, 0.5447, 0.7909)  3 H 1.57-1.62

- Symmetry: C2/m, No. 12
- Volume: 16.326 A^3/atom



--- two ---
The following is a PBE calculation of a relaxed structure of CsH4Rh, from the Alexandria database.

a b c (Å): 7.2574 7.2574 5.0002
angles (deg): 92.12 92.12 127.81
Last column: nearest neighbours and their distance in Å.
Atoms (fractional coordinates):
Cs (0.1449, 0.8551, 0.7500)  6 H 2.88-3.04
Cs (0.8551, 0.1449, 0.2500)  6 H 2.88-3.04
H (0.2543, 0.5269, 0.5840)  1 Rh 1.58
H (0.2962, 0.3898, 0.0119)  2 Rh 1.71-1.91
H (0.3898, 0.2962, 0.5119)  2 Rh 1.71-1.91
H (0.4731, 0.7457, 0.9160)  1 Rh 1.58
H (0.5269, 0.2543, 0.0840)  1 Rh 1.58
H (0.6102, 0.7038, 0.4881)  2 Rh 1.71-1.91
H (0.7038, 0.6102, 0.9881)  2 Rh 1.71-1.91
H (0.7457, 0.4731, 0.4160)  1 Rh 1.58
Rh (0.4548, 0.5452, 0.7500)  4 H 1.58-1.71
Rh (0.5452, 0.4548, 0.2500)  4 H 1.58-1.71

- Symmetry: C2/c, No. 15
- Volume: 17.277 A^3/atom



Most stable to least stable: two, one



--- one ---
The following is a PBE calculation of a relaxed structure of Cs2HRh, from the Alexandria database.

a b c (Å): 8.4000 8.4000 8.4000
angles (deg): 136.01 136.01 63.96
Last column: nearest neighbours and their distance in Å.
Atoms (fractional coordinates):
Cs (0.0979, 0.1250, 0.4729)  2 Rh 2.76, 2 H 2.95
Cs (0.3750, 0.9021, 0.0271)  2 Rh 2.76, 2 H 2.95
Cs (0.6521, 0.6250, 0.5271)  2 Rh 2.76, 2 H 2.95
Cs (0.8750, 0.3479, 0.9729)  2 Rh 2.76, 2 H 2.95
H (0.2500, 0.7500, 0.5000)  4 Cs 2.95
H (0.5000, 0.5000, 0.0000)  4 Cs 2.95
Rh (0.0000, 0.0000, 0.0000)  4 Cs 2.76
Rh (0.7500, 0.2500, 0.5000)  4 Cs 2.76

- Symmetry: I-42d, No. 122
- Volume: 35.256 A^3/atom



--- two ---
The following is a PBE calculation of a relaxed structure of Cs2HRh, from the Alexandria database.

a b c (Å): 5.3416 5.3416 5.3416
angles (deg): 60.00 60.00 60.00
Last column: nearest neighbours and their distance in Å.
Atoms (fractional coordinates):
Cs (0.2500, 0.2500, 0.2500)  4 Rh 3.27, 4 H 3.27
Cs (0.7500, 0.7500, 0.7500)  4 Rh 3.27, 4 H 3.27
H (0.0000, 0.0000, 0.0000)  8 Cs 3.27
Rh (0.5000, 0.5000, 0.5000)  8 Cs 3.27

- Symmetry: Fm-3m, No. 225
- Volume: 26.943 A^3/atom



Most stable to least stable: one, two



--- one ---
The following is a PBE calculation of a relaxed structure of CsH2S, from the Alexandria database.

a b c (Å): 4.7534 4.7534 4.7534
angles (deg): 72.23 72.23 72.23
Last column: nearest neighbours and their distance in Å.
Atoms (fractional coordinates):
Cs (0.0000, 0.0000, 0.0000)  6 H 3.24
H (0.3554, 0.3554, 0.3554)  1 S 1.51
H (0.6446, 0.6446, 0.6446)  1 S 1.51
S (0.5000, 0.5000, 0.5000)  2 H 1.51

- Symmetry: R-3m, No. 166
- Volume: 23.676 A^3/atom



--- two ---
The following is a PBE calculation of a relaxed structure of CsH2S, from the Alexandria database.

a b c (Å): 9.2170 9.2170 4.7307
angles (deg): 90.00 90.00 148.83
Last column: nearest neighbours and their distance in Å.
Atoms (fractional coordinates):
Cs (0.0985, 0.9015, 0.7500)  2 S 3.28, 6 H 3.48-3.57
Cs (0.9015, 0.0985, 0.2500)  2 S 3.28, 6 H 3.48-3.57
H (0.2656, 0.7344, 0.1703)  1 H 0.75
H (0.2656, 0.7344, 0.3297)  1 H 0.75
H (0.7344, 0.2656, 0.6703)  1 H 0.75
H (0.7344, 0.2656, 0.8297)  1 H 0.75
S (0.4777, 0.5223, 0.7500)  2 S 2.49
S (0.5223, 0.4777, 0.2500)  2 S 2.49

- Symmetry: Cmcm, No. 63
- Volume: 26.004 A^3/atom



--- three ---
The following is a PBE calculation of a relaxed structure of CsH2S, from the Alexandria database.

a b c (Å): 4.8000 4.8000 4.8000
angles (deg): 60.00 60.00 60.00
Last column: nearest neighbours and their distance in Å.
Atoms (fractional coordinates):
Cs (0.0000, 0.0000, 0.0000)  8 H 2.94
H (0.2500, 0.2500, 0.2500)  4 S 2.94, 4 Cs 2.94
H (0.7500, 0.7500, 0.7500)  4 S 2.94, 4 Cs 2.94
S (0.5000, 0.5000, 0.5000)  8 H 2.94

- Symmetry: Fm-3m, No. 225
- Volume: 19.550 A^3/atom



--- four ---
The following is a PBE calculation of a relaxed structure of CsH2S, from the Alexandria database.

a b c (Å): 7.1958 7.1958 7.1958
angles (deg): 140.02 140.02 57.83
Last column: nearest neighbours and their distance in Å.
Atoms (fractional coordinates):
Cs (0.3750, 0.6250, 0.7500)  8 H 3.17, 4 S 3.48
Cs (0.6250, 0.3750, 0.2500)  8 H 3.17, 4 S 3.48
H (0.0000, 0.0000, 0.0000)  2 S 2.00
H (0.0000, 0.0000, 0.5000)  2 S 2.00
H (0.0000, 0.5000, 0.0000)  2 S 2.00
H (0.5000, 0.0000, 0.5000)  2 S 2.00
S (0.1250, 0.8750, 0.2500)  4 H 2.00
S (0.8750, 0.1250, 0.7500)  4 H 2.00

- Symmetry: I4_1/amd, No. 141
- Volume: 19.060 A^3/atom



Most stable to least stable: two, one, four, three



--- one ---
The following is a PBE calculation of a relaxed structure of Cs3HS, from the Alexandria database.

a b c (Å): 4.8125 7.9876 10.2951
angles (deg): 90.00 90.00 90.00
Last column: nearest neighbours and their distance in Å.
Atoms (fractional coordinates):
Cs (0.2500, 0.0152, 0.1631)  3 H 3.21-3.29, 2 S 3.50
Cs (0.2500, 0.2500, 0.5544)  2 S 3.34, 1 H 3.67
Cs (0.2500, 0.4848, 0.1631)  3 H 3.21-3.29, 2 S 3.50
Cs (0.7500, 0.5152, 0.8369)  3 H 3.21-3.29, 2 S 3.50
Cs (0.7500, 0.7500, 0.4456)  2 S 3.34, 1 H 3.67
Cs (0.7500, 0.9848, 0.8369)  3 H 3.21-3.29, 2 S 3.50
H (0.2500, 0.2500, 0.9105)  6 Cs 3.21-3.29
H (0.7500, 0.7500, 0.0895)  6 Cs 3.21-3.29
S (0.2500, 0.7500, 0.6704)  6 Cs 3.34-3.50
S (0.7500, 0.2500, 0.3296)  6 Cs 3.34-3.50

- Symmetry: Pmmn, No. 59
- Volume: 39.575 A^3/atom



--- two ---
The following is a PBE calculation of a relaxed structure of Cs3HS, from the Alexandria database.

a b c (Å): 5.7006 5.7006 5.7006
angles (deg): 90.00 90.00 90.00
Last column: nearest neighbours and their distance in Å.
Atoms (fractional coordinates):
Cs (0.0000, 0.0000, 0.5000)  2 H 2.85
Cs (0.0000, 0.5000, 0.0000)  2 H 2.85
Cs (0.5000, 0.0000, 0.0000)  2 H 2.85
H (0.0000, 0.0000, 0.0000)  6 Cs 2.85
S (0.5000, 0.5000, 0.5000)  12 Cs 4.03

- Symmetry: Pm-3m, No. 221
- Volume: 37.050 A^3/atom



Most stable to least stable: one, two



--- one ---
The following is a PBE calculation of a relaxed structure of Cs2H2S, from the Alexandria database.

a b c (Å): 7.9072 7.9072 8.4440
angles (deg): 90.00 90.00 142.21
Last column: nearest neighbours and their distance in Å.
Atoms (fractional coordinates):
Cs (0.9998, 0.0002, 0.0000)  2 H 3.12-3.37
Cs (0.0002, 0.9998, 0.5000)  2 H 3.12-3.37
Cs (0.2655, 0.7345, 0.6200)  6 H 3.01-3.30
Cs (0.7345, 0.2655, 0.1200)  6 H 3.01-3.30
H (0.1644, 0.8356, 0.2721)  1 H 2.09
H (0.3036, 0.6964, 0.2628)  1 S 1.38
H (0.6964, 0.3036, 0.7628)  1 S 1.38
H (0.8356, 0.1644, 0.7721)  1 H 2.09
S (0.3955, 0.6045, 0.2589)  1 H 1.38
S (0.6045, 0.3955, 0.7589)  1 H 1.38

- Symmetry: Cmc2_1, No. 36
- Volume: 32.348 A^3/atom



--- two ---
The following is a PBE calculation of a relaxed structure of Cs2H2S, from the Alexandria database.

a b c (Å): 6.7722 6.7722 13.4159
angles (deg): 117.66 117.66 30.16
Last column: nearest neighbours and their distance in Å.
Atoms (fractional coordinates):
Cs (0.0551, 0.0551, 0.3353)  3 H 3.16-3.28, 1 S 3.49, 2 Cs 3.52
Cs (0.1647, 0.1647, 0.0996)  5 H 3.07-3.33
Cs (0.8353, 0.8353, 0.9004)  5 H 3.07-3.33
Cs (0.9449, 0.9449, 0.6647)  3 H 3.16-3.28, 1 S 3.49, 2 Cs 3.52
H (0.3255, 0.3255, 0.3815)  2 S 1.79
H (0.4593, 0.4593, 0.1126)  6 Cs 3.07-3.29
H (0.5407, 0.5407, 0.8874)  6 Cs 3.07-3.29
H (0.6745, 0.6745, 0.6185)  2 S 1.79
S (0.1989, 0.1989, 0.6409)  2 H 1.79
S (0.8011, 0.8011, 0.3591)  2 H 1.79

- Symmetry: C2/m, No. 12
- Volume: 27.106 A^3/atom



Most stable to least stable: one, two



--- one ---
The following is a PBE calculation of a relaxed structure of Cs2HS, from the Alexandria database.

a b c (Å): 7.4584 7.4584 7.4584
angles (deg): 110.60 110.60 107.23
Last column: nearest neighbours and their distance in Å.
Atoms (fractional coordinates):
Cs (0.0860, 0.1250, 0.4610)  2 H 2.99
Cs (0.3750, 0.9140, 0.0390)  2 H 2.99
Cs (0.6640, 0.6250, 0.5390)  2 H 2.99
Cs (0.8750, 0.3360, 0.9610)  2 H 2.99
H (0.0000, 0.0000, 0.0000)  4 Cs 2.99
H (0.7500, 0.2500, 0.5000)  4 Cs 2.99
S (0.2500, 0.7500, 0.5000)  4 Cs 3.43
S (0.5000, 0.5000, 0.0000)  4 Cs 3.43

- Symmetry: I-42d, No. 122
- Volume: 39.877 A^3/atom



--- two ---
The following is a PBE calculation of a relaxed structure of Cs2HS, from the Alexandria database.

a b c (Å): 5.8151 5.8151 5.8151
angles (deg): 60.00 60.00 60.00
Last column: nearest neighbours and their distance in Å.
Atoms (fractional coordinates):
Cs (0.2500, 0.2500, 0.2500)  4 S 3.56, 4 H 3.56
Cs (0.7500, 0.7500, 0.7500)  4 S 3.56, 4 H 3.56
H (0.0000, 0.0000, 0.0000)  8 Cs 3.56
S (0.5000, 0.5000, 0.5000)  8 Cs 3.56

- Symmetry: Fm-3m, No. 225
- Volume: 34.761 A^3/atom



Most stable to least stable: two, one



--- one ---
The following is a PBE calculation of a relaxed structure of Cs2SbH, from the Alexandria database.

a b c (Å): 8.4689 8.4689 9.8076
angles (deg): 90.00 90.00 139.10
Last column: nearest neighbours and their distance in Å.
Atoms (fractional coordinates):
Cs (0.1444, 0.8556, 0.5029)  3 Sb 3.82-3.85, 2 H 4.04
Cs (0.1444, 0.8556, 0.9971)  3 Sb 3.82-3.85, 2 H 4.04
Cs (0.8556, 0.1444, 0.0029)  3 Sb 3.82-3.85, 2 H 4.04
Cs (0.8556, 0.1444, 0.4971)  3 Sb 3.82-3.85, 2 H 4.04
Sb (0.3276, 0.6724, 0.2500)  1 H 1.76
Sb (0.6724, 0.3276, 0.7500)  1 H 1.76
H (0.4385, 0.5615, 0.2500)  1 Sb 1.76
H (0.5615, 0.4385, 0.7500)  1 Sb 1.76

- Symmetry: Cmcm, No. 63
- Volume: 57.572 A^3/atom



--- two ---
The following is a PBE calculation of a relaxed structure of Cs2SbH, from the Alexandria database.

a b c (Å): 7.8648 7.8648 7.8648
angles (deg): 109.51 109.51 109.39
Last column: nearest neighbours and their distance in Å.
Atoms (fractional coordinates):
Cs (0.0368, 0.1250, 0.4118)  2 H 2.93
Cs (0.3750, 0.9632, 0.0882)  2 H 2.93
Cs (0.7132, 0.6250, 0.5882)  2 H 2.93
Cs (0.8750, 0.2868, 0.9118)  2 H 2.93
Sb (0.2500, 0.7500, 0.5000)  8 Cs 3.98-4.35
Sb (0.5000, 0.5000, 0.0000)  8 Cs 3.98-4.35
H (0.0000, 0.0000, 0.0000)  4 Cs 2.93
H (0.7500, 0.2500, 0.5000)  4 Cs 2.93

- Symmetry: I-42d, No. 122
- Volume: 46.811 A^3/atom



Most stable to least stable: one, two



--- one ---
The following is a PBE calculation of a relaxed structure of CsSb3H, from the Alexandria database.

a b c (Å): 7.4381 7.0196 7.5388
angles (deg): 90.00 118.91 90.00
Last column: nearest neighbours and their distance in Å.
Atoms (fractional coordinates):
Cs (0.2296, 0.2500, 0.4716)  1 H 3.23
Cs (0.7704, 0.7500, 0.5284)  1 H 3.23
Sb (0.0712, 0.7500, 0.1884)  4 Sb 3.00-3.06, 1 H 3.19
Sb (0.2956, 0.5060, 0.0203)  1 H 2.02
Sb (0.2956, 0.9940, 0.0203)  1 H 2.02
Sb (0.7044, 0.0060, 0.9797)  1 H 2.02
Sb (0.7044, 0.4940, 0.9797)  1 H 2.02
Sb (0.9288, 0.2500, 0.8116)  4 Sb 3.00-3.06, 1 H 3.19
H (0.4012, 0.2500, 0.1509)  2 Sb 2.02
H (0.5988, 0.7500, 0.8491)  2 Sb 2.02

- Symmetry: P2_1/m, No. 11
- Volume: 34.457 A^3/atom



--- two ---
The following is a PBE calculation of a relaxed structure of CsSb3H, from the Alexandria database.

a b c (Å): 5.0950 5.0950 5.0950
angles (deg): 90.00 90.00 90.00
Last column: nearest neighbours and their distance in Å.
Atoms (fractional coordinates):
Cs (0.0000, 0.0000, 0.0000)  12 Sb 3.60
Sb (0.0000, 0.5000, 0.5000)  2 H 2.55
Sb (0.5000, 0.0000, 0.5000)  2 H 2.55
Sb (0.5000, 0.5000, 0.0000)  2 H 2.55
H (0.5000, 0.5000, 0.5000)  6 Sb 2.55

- Symmetry: Pm-3m, No. 221
- Volume: 26.452 A^3/atom



Most stable to least stable: one, two



--- one ---
The following is a PBE calculation of a relaxed structure of CsSb2H, from the Alexandria database.

a b c (Å): 9.0838 4.5820 16.4885
angles (deg): 90.00 123.25 90.00
Last column: nearest neighbours and their distance in Å.
Atoms (fractional coordinates):
Cs (0.2255, 0.2501, 0.2500)  6 Sb 3.89-3.97, 2 H 3.99-4.00
Cs (0.2255, 0.2499, 0.7500)  6 Sb 3.89-3.97, 2 H 3.99-4.00
Cs (0.7745, 0.7501, 0.2500)  6 Sb 3.89-3.97, 2 H 3.99-4.00
Cs (0.7745, 0.7499, 0.7500)  6 Sb 3.89-3.97, 2 H 3.99-4.00
Sb (0.0717, 0.2450, 0.4740)  1 H 2.00
Sb (0.0717, 0.2550, 0.9740)  1 H 2.00
Sb (0.3766, 0.7449, 0.9742)  1 H 2.00
Sb (0.3766, 0.7551, 0.4742)  1 H 2.00
Sb (0.6234, 0.2449, 0.5258)  1 H 2.00
Sb (0.6234, 0.2551, 0.0258)  1 H 2.00
Sb (0.9283, 0.7450, 0.0260)  1 H 2.00
Sb (0.9283, 0.7550, 0.5260)  1 H 2.00
H (0.2893, 0.0001, 0.5394)  2 Sb 2.00
H (0.2893, 0.4999, 0.0394)  2 Sb 2.00
H (0.7107, 0.9999, 0.4606)  2 Sb 2.00
H (0.7107, 0.5001, 0.9606)  2 Sb 2.00

- Symmetry: P2_1/c, No. 14
- Volume: 35.872 A^3/atom



--- two ---
The following is a PBE calculation of a relaxed structure of CsSb2H, from the Alexandria database.

a b c (Å): 7.0001 7.0001 7.0001
angles (deg): 120.51 120.51 89.12
Last column: nearest neighbours and their distance in Å.
Atoms (fractional coordinates):
Cs (0.3750, 0.6250, 0.7500)  12 Sb 4.08-4.12, 4 H 4.28, 4 Cs 4.28
Cs (0.6250, 0.3750, 0.2500)  12 Sb 4.08-4.12, 4 H 4.28, 4 Cs 4.28
Sb (0.0000, 0.0000, 0.0000)  2 H 2.14
Sb (0.0000, 0.0000, 0.5000)  2 H 2.14
Sb (0.0000, 0.5000, 0.0000)  2 H 2.14
Sb (0.5000, 0.0000, 0.5000)  2 H 2.14
H (0.1250, 0.8750, 0.2500)  4 Sb 2.14
H (0.8750, 0.1250, 0.7500)  4 Sb 2.14

- Symmetry: I4_1/amd, No. 141
- Volume: 30.081 A^3/atom



Most stable to least stable: one, two